Entry 1:
# SmZnPd PBE optimized geometry
# formation energy	-0.7172	eV/atom
# total magnetization	0.00	Bohr magnetons per cell
data_SmZnPd
_symmetry_space_group_name_H-M 'P 1'
_symmetry_Int_Tables_number 1
_cell_length_a 7.307
_cell_length_b 7.307
_cell_length_c 3.992
_cell_angle_alpha 90.00
_cell_angle_beta 90.00
_cell_angle_gamma 120.00
loop_
_symmetry_equiv_pos_as_xyz
'x,y,z'
loop_
_atom_site_label
_atom_site_type_symbol
_atom_site_fract_x
_atom_site_fract_y
_atom_site_fract_z
Pd1 Pd 0.667 0.333 0.000
Pd2 Pd 0.333 0.667 0.000
Pd3 Pd 0.000 0.000 0.500
Sm1 Sm 0.592 0.000 0.500
Sm2 Sm 0.408 0.408 0.500
Sm3 Sm 0.000 0.592 0.500
Zn1 Zn 0.245 0.000 0.000
Zn2 Zn 0.000 0.245 0.000
Zn3 Zn 0.755 0.755 0.000


Entry 2:
# Cs2AgGeBr6 PBE optimized geometry
# energy	-2.949	eV/atom
data_Cs2AgGeBr6
_symmetry_space_group_name_H-M 'P 1'
_symmetry_Int_Tables_number 1
_cell_length_a 7.815
_cell_length_b 7.815
_cell_length_c 7.815
_cell_angle_alpha 120.24
_cell_angle_beta 120.24
_cell_angle_gamma 89.59
loop_
_symmetry_equiv_pos_as_xyz
'x,y,z'
loop_
_atom_site_label
_atom_site_type_symbol
_atom_site_fract_x
_atom_site_fract_y
_atom_site_fract_z
Ag1 Ag 0.000 0.000 0.000
Br1 Br 0.745 0.255 0.000
Br2 Br 0.257 0.257 0.000
Br3 Br 0.743 0.743 0.000
Br4 Br 0.255 0.745 0.000
Br5 Br 0.745 0.745 0.489
Br6 Br 0.255 0.255 0.511
Cs1 Cs 0.750 0.250 0.500
Cs2 Cs 0.250 0.750 0.500
Ge1 Ge 0.500 0.500 0.000


Entry 3:
# MgFeHgSe3 PBE optimized geometry
# offset from the most stable computed form	0.0	kJ per mole of atoms
# total magnetization	8.30	Bohr magnetons per cell
data_MgFeHgSe3
_symmetry_space_group_name_H-M 'P 1'
_symmetry_Int_Tables_number 1
_cell_length_a 3.768
_cell_length_b 6.342
_cell_length_c 12.360
_cell_angle_alpha 90.00
_cell_angle_beta 90.00
_cell_angle_gamma 72.72
loop_
_symmetry_equiv_pos_as_xyz
'x,y,z'
loop_
_atom_site_label
_atom_site_type_symbol
_atom_site_fract_x
_atom_site_fract_y
_atom_site_fract_z
Fe1 Fe 0.533 0.935 0.250
Fe2 Fe 0.467 0.065 0.750
Hg1 Hg 0.000 0.000 0.000
Hg2 Hg 0.000 0.000 0.500
Mg1 Mg 0.233 0.533 0.250
Mg2 Mg 0.767 0.467 0.750
Se1 Se 0.649 0.702 0.096
Se2 Se 0.904 0.192 0.250
Se3 Se 0.649 0.702 0.404
Se4 Se 0.351 0.298 0.596
Se5 Se 0.096 0.808 0.750
Se6 Se 0.351 0.298 0.904


Entry 4:
# NaMgNbSe3 PBE optimized geometry
# offset from the most stable computed form	11.3	kJ per mole of atoms
# total magnetization	3.95	Bohr magnetons per cell
data_NaMgNbSe3
_symmetry_space_group_name_H-M 'P 1'
_symmetry_Int_Tables_number 1
_cell_length_a 7.199
_cell_length_b 7.199
_cell_length_c 10.314
_cell_angle_alpha 90.00
_cell_angle_beta 90.00
_cell_angle_gamma 149.04
loop_
_symmetry_equiv_pos_as_xyz
'x,y,z'
loop_
_atom_site_label
_atom_site_type_symbol
_atom_site_fract_x
_atom_site_fract_y
_atom_site_fract_z
Mg1 Mg 0.532 0.468 0.250
Mg2 Mg 0.468 0.532 0.750
Na1 Na 0.248 0.752 0.250
Na2 Na 0.752 0.248 0.750
Nb1 Nb 0.000 0.000 0.000
Nb2 Nb 0.000 0.000 0.500
Se1 Se 0.634 0.366 0.047
Se2 Se 0.915 0.085 0.250
Se3 Se 0.634 0.366 0.453
Se4 Se 0.366 0.634 0.547
Se5 Se 0.085 0.915 0.750
Se6 Se 0.366 0.634 0.953


Entry 5:
# BeCoReSb PBE optimized geometry
# offset from the most stable computed form	0.0	kJ per mole of atoms
# total magnetization	0.01	Bohr magnetons per cell
data_BeCoReSb
_symmetry_space_group_name_H-M 'P 1'
_symmetry_Int_Tables_number 1
_cell_length_a 4.250
_cell_length_b 4.250
_cell_length_c 4.250
_cell_angle_alpha 60.00
_cell_angle_beta 60.00
_cell_angle_gamma 60.00
loop_
_symmetry_equiv_pos_as_xyz
'x,y,z'
loop_
_atom_site_label
_atom_site_type_symbol
_atom_site_fract_x
_atom_site_fract_y
_atom_site_fract_z
Be1 Be 0.500 0.500 0.500
Co1 Co 0.750 0.750 0.750
Re1 Re 0.250 0.250 0.250
Sb1 Sb 0.000 0.000 0.000


Entry 6:
# AcTa2O7 PBE optimized geometry
# energy	-9.107	eV/atom
# total magnetization	1.00	Bohr magnetons per cell
data_AcTa2O7
_symmetry_space_group_name_H-M 'P 1'
_symmetry_Int_Tables_number 1
_cell_length_a 6.027
_cell_length_b 6.027
_cell_length_c 3.892
_cell_angle_alpha 90.00
_cell_angle_beta 90.00
_cell_angle_gamma 117.07
loop_
_symmetry_equiv_pos_as_xyz
'x,y,z'
loop_
_atom_site_label
_atom_site_type_symbol
_atom_site_fract_x
_atom_site_fract_y
_atom_site_fract_z
Ac1 Ac 0.000 0.000 0.000
O1 O 0.717 0.283 0.000
O2 O 0.283 0.717 0.000
O3 O 0.327 0.058 0.500
O4 O 0.058 0.327 0.500
O5 O 0.500 0.500 0.500
O6 O 0.942 0.673 0.500
O7 O 0.673 0.942 0.500
Ta1 Ta 0.698 0.302 0.500
Ta2 Ta 0.302 0.698 0.500


Entry 7:
# NaTc2N3 PBE optimized geometry
# energy	-7.866	eV/atom
# total magnetization	0.01	Bohr magnetons per cell
data_NaTc2N3
_symmetry_space_group_name_H-M 'P 1'
_symmetry_Int_Tables_number 1
_cell_length_a 6.097
_cell_length_b 6.097
_cell_length_c 5.099
_cell_angle_alpha 90.00
_cell_angle_beta 90.00
_cell_angle_gamma 57.62
loop_
_symmetry_equiv_pos_as_xyz
'x,y,z'
loop_
_atom_site_label
_atom_site_type_symbol
_atom_site_fract_x
_atom_site_fract_y
_atom_site_fract_z
N1 N 0.001 0.400 0.387
N2 N 0.600 0.999 0.387
N3 N 0.204 0.796 0.481
N4 N 0.400 0.001 0.887
N5 N 0.999 0.600 0.887
N6 N 0.796 0.204 0.981
Na1 Na 0.645 0.355 0.497
Na2 Na 0.355 0.645 0.997
Tc1 Tc 0.061 0.268 0.003
Tc2 Tc 0.732 0.939 0.003
Tc3 Tc 0.268 0.061 0.503
Tc4 Tc 0.939 0.732 0.503


Entry 8:
# Gd3Dy3CoTe2 PBE optimized geometry
# energy	-5.259	eV/atom
# total magnetization	0.01	Bohr magnetons per cell
data_Gd3Dy3CoTe2
_symmetry_space_group_name_H-M 'P 1'
_symmetry_Int_Tables_number 1
_cell_length_a 8.396
_cell_length_b 8.396
_cell_length_c 3.923
_cell_angle_alpha 90.00
_cell_angle_beta 90.00
_cell_angle_gamma 120.00
loop_
_symmetry_equiv_pos_as_xyz
'x,y,z'
loop_
_atom_site_label
_atom_site_type_symbol
_atom_site_fract_x
_atom_site_fract_y
_atom_site_fract_z
Co1 Co 0.000 0.000 0.500
Dy1 Dy 0.235 0.000 0.000
Dy2 Dy 0.000 0.235 0.000
Dy3 Dy 0.765 0.765 0.000
Gd1 Gd 0.598 0.000 0.500
Gd2 Gd 0.402 0.402 0.500
Gd3 Gd 0.000 0.598 0.500
Te1 Te 0.667 0.333 0.000
Te2 Te 0.333 0.667 0.000